# 1
This record from Alexandria describes a crystal of HgSeBr relaxed with PBEsol. The functional is meta-GGA SCAN.

The structure belongs to space group P3m1 (No. 156); the cell edges are 4.1001, 4.1001 and 5.1822 Å and the angles 90.00°, 90.00° and 120.00°. The inequivalent atoms are Hg at (0.0000, 0.0000, 0.0000), Se at (0.3333, 0.6667, 0.7595) and Br at (0.6667, 0.3333, 0.3428).

The calculation puts the uncorrected formation energy at 0.031 eV/atom. For the offset from the most stable computed form, the calculation gives 0 meV per atom.

# 2
This record from Alexandria describes a crystal of ThS relaxed with PBEsol. The functional is meta-GGA SCAN.

The structure belongs to space group Fm-3m (No. 225); the cell edges are 5.654, 5.654 and 5.654 Å and the angles 90.00°, 90.00° and 90.00°. The inequivalent atoms are Th at (0.000, 0.000, 0.000) and S at (0.000, 0.000, 0.500).

The calculation puts the uncorrected formation energy at -1.915 eV/atom.

# 3
This record from Alexandria describes a crystal of Zr6Al16Pt7 relaxed with PBEsol. The functional is meta-GGA SCAN.

The structure belongs to space group Fm-3m (No. 225); the cell edges are 12.305, 12.305 and 12.305 Å and the angles 90.00°, 90.00° and 90.00°. The inequivalent atoms are Zr at (0.000, 0.000, 0.186), Al at (0.120, 0.120, 0.380), Al at (0.165, 0.165, 0.165), Pt at (0.000, 0.000, 0.500) and Pt at (0.000, 0.250, 0.250).

The formation energy comes out at -1.15 eV/atom.

# 4
This record from Alexandria describes a crystal of HfSc3N relaxed with PBEsol. The functional is meta-GGA SCAN.

The structure belongs to space group Pm-3m (No. 221); the cell edges are 4.472, 4.472 and 4.472 Å and the angles 90.00°, 90.00° and 90.00°. The inequivalent atoms are Hf at (0.000, 0.000, 0.000), Sc at (0.000, 0.500, 0.500) and N at (0.500, 0.500, 0.500).

The calculation puts the uncorrected formation energy at -0.654 eV/atom. For the offset from the most stable computed form, the calculation gives 0 meV per atom.

# 5
This record from Alexandria describes a crystal of RbHfRhSe3 relaxed with PBEsol. The functional is meta-GGA SCAN.

The structure belongs to space group Cmcm (No. 63); the cell edges are 3.676, 16.134 and 9.725 Å and the angles 90.00°, 90.00° and 90.00°. The inequivalent atoms are Rb at (0.000, 0.247, 0.250), Hf at (0.000, 0.000, 0.000), Rh at (0.000, 0.479, 0.750), Se at (0.000, 0.076, 0.750) and Se at (0.000, 0.382, 0.555).

The calculation puts the uncorrected formation energy at -1.133 eV/atom.

# 6
This record from Alexandria describes a crystal of CdTcP2 relaxed with PBEsol. The functional is meta-GGA SCAN.

The structure belongs to space group P2/m (No. 10); the cell edges are 4.063, 3.150 and 5.132 Å and the angles 90.00°, 110.84° and 90.00°. The inequivalent atoms are Cd at (0.000, 0.000, 0.000), Tc at (0.500, 0.500, 0.500), P at (0.000, 0.000, 0.500) and P at (0.500, 0.500, 0.000).

The formation energy comes out at 0.44 eV/atom.